1.
# BaSb2Pd

Crystalline BaSb2Pd at its relaxed geometry (GGA-PBE, Alexandria via LeMat-Bulk).

Cell and atoms, written as CIF:
```
data_BaSb2Pd
_chemical_formula_sum 'Ba3 Sb6 Pd3'
_cell_length_a 4.3136
_cell_length_b 4.3136
_cell_length_c 27.3488
_cell_angle_alpha 90.00
_cell_angle_beta 90.00
_cell_angle_gamma 120.00
_symmetry_space_group_name_H-M 'R -3 m'
_symmetry_Int_Tables_number 166
_symmetry_space_group_name_Hall '-R 3 2"'
loop_
_atom_site_label
_atom_site_fract_x
_atom_site_fract_y
_atom_site_fract_z
_atom_site_occupancy
Ba1 0.0000 0.0000 0.0000 1
Sb1 0.0000 0.0000 0.1267 1
Pd1 0.0000 0.0000 0.5000 1
```

Values from the calculation:
* E_form (uncorrected): -240.7 meV per atom
* crystal system: trigonal
* energy: -16.32 eV/f.u.



2.
# Ba2Sb3Pd

Crystalline Ba2Sb3Pd at its relaxed geometry (GGA-PBE, Alexandria via LeMat-Bulk).

Cell and atoms, written as CIF:
```
data_Ba2Sb3Pd
_chemical_formula_sum 'Ba16 Sb24 Pd8'
_cell_length_a 9.844
_cell_length_b 10.182
_cell_length_c 16.269
_cell_angle_alpha 90.00
_cell_angle_beta 90.00
_cell_angle_gamma 90.00
_symmetry_space_group_name_H-M 'F m m m'
_symmetry_Int_Tables_number 69
_symmetry_space_group_name_Hall '-F 2 2'
loop_
_atom_site_label
_atom_site_fract_x
_atom_site_fract_y
_atom_site_fract_z
_atom_site_occupancy
Ba1 0.238 0.000 0.000 1
Ba2 0.250 0.250 0.250 1
Sb1 0.000 0.000 0.163 1
Sb2 0.000 0.218 0.412 1
Pd1 0.000 0.000 0.324 1
```

Values from the calculation:
* E_form (uncorrected): -787.3 meV per atom
* crystal system: orthorhombic
* energy: -26.13 eV/f.u.



3.
# BaSb2Pd5

Crystalline BaSb2Pd5 at its relaxed geometry (GGA-PBE, Alexandria via LeMat-Bulk).

Cell and atoms, written as CIF:
```
data_BaSb2Pd5
_chemical_formula_sum 'Ba2 Sb4 Pd10'
_cell_length_a 4.313
_cell_length_b 7.356
_cell_length_c 10.805
_cell_angle_alpha 90.00
_cell_angle_beta 90.00
_cell_angle_gamma 90.00
_symmetry_space_group_name_H-M 'I m m m'
_symmetry_Int_Tables_number 71
_symmetry_space_group_name_Hall '-I 2 2'
loop_
_atom_site_label
_atom_site_fract_x
_atom_site_fract_y
_atom_site_fract_z
_atom_site_occupancy
Ba1 0.000 0.000 0.000 1
Sb1 0.000 0.500 0.240 1
Pd1 0.000 0.188 0.360 1
Pd2 0.000 0.500 0.000 1
```

Values from the calculation:
* E_form (uncorrected): -546.3 meV per atom
* crystal system: orthorhombic
* energy: -40.50 eV/f.u.